(1)
Compound: KSb2TeO
Source: Alexandria via LeMat-Bulk
Functional: PBEsol
Structure: relaxed

Unit cell a=5.7890 b=5.7890 c=5.8124 alpha=90.00 beta=90.00 gamma=90.00
Sites, in units of the cell vectors:
K  0.0000  0.0000  0.0000
Sb  0.0000  0.5000  0.0000
Sb  0.5000  0.0000  0.0000
Te  0.0000  0.0000  0.5000
O  0.5000  0.5000  0.5000

Output
symmetry	P4/mmm (123)

---

(2)
Compound: KV2SbO8
Source: Alexandria via LeMat-Bulk
Functional: PBEsol
Structure: relaxed

Unit cell a=14.7395 b=5.5594 c=8.6085 alpha=90.00 beta=90.00 gamma=90.00
Sites, in units of the cell vectors:
K  0.1176  0.2500  0.0605
K  0.3824  0.7500  0.5605
K  0.6176  0.2500  0.4395
K  0.8824  0.7500  0.9395
V  0.0259  0.7500  0.2917
V  0.2169  0.2500  0.4888
V  0.2831  0.7500  0.9888
V  0.4741  0.2500  0.7917
V  0.5259  0.7500  0.2083
V  0.7169  0.2500  0.0112
V  0.7831  0.7500  0.5112
V  0.9741  0.2500  0.7083
Sb  0.1199  0.7500  0.6817
Sb  0.3801  0.2500  0.1817
Sb  0.6199  0.7500  0.8183
Sb  0.8801  0.2500  0.3183
O  0.0378  0.5026  0.7703
O  0.0378  0.9974  0.7703
O  0.0481  0.7500  0.4877
O  0.1175  0.7500  0.1889
O  0.1340  0.2500  0.3679
O  0.1803  0.7500  0.8867
O  0.2079  0.5086  0.6052
O  0.2079  0.9914  0.6052
O  0.2921  0.0086  0.1052
O  0.2921  0.4914  0.1052
O  0.3197  0.2500  0.3867
O  0.3660  0.7500  0.8679
O  0.3825  0.2500  0.6889
O  0.4519  0.2500  0.9877
O  0.4622  0.0026  0.2703
O  0.4622  0.4974  0.2703
O  0.5378  0.5026  0.7297
O  0.5378  0.9974  0.7297
O  0.5481  0.7500  0.0123
O  0.6175  0.7500  0.3111
O  0.6340  0.2500  0.1321
O  0.6803  0.7500  0.6133
O  0.7079  0.5086  0.8948
O  0.7079  0.9914  0.8948
O  0.7921  0.0086  0.3948
O  0.7921  0.4914  0.3948
O  0.8197  0.2500  0.1133
O  0.8660  0.7500  0.6321
O  0.8825  0.2500  0.8111
O  0.9519  0.2500  0.5123
O  0.9622  0.0026  0.2297
O  0.9622  0.4974  0.2297

Output
symmetry	Pnma (62)

---

(3)
Compound: KSbWO6
Source: Alexandria via LeMat-Bulk
Functional: PBEsol
Structure: relaxed

Unit cell a=7.2857 b=7.2857 c=7.2857 alpha=120.57 beta=90.81 gamma=118.51
Sites, in units of the cell vectors:
K  0.1616  0.2500  0.4116
K  0.8384  0.7500  0.5884
Sb  0.3915  0.3915  0.0000
Sb  0.3915  0.8915  0.5000
W  0.4258  0.9172  0.0086
W  0.9085  0.4172  0.9914
O  0.0722  0.2637  0.9349
O  0.0722  0.6372  0.3085
O  0.0868  0.6478  0.9390
O  0.3049  0.1337  0.6712
O  0.3288  0.1372  0.0651
O  0.3288  0.7637  0.6915
O  0.4547  0.0199  0.3101
O  0.4547  0.6446  0.9348
O  0.4625  0.6337  0.3288
O  0.7089  0.1478  0.0610
O  0.7098  0.1446  0.6899
O  0.7098  0.5199  0.0652

Output
symmetry	Ima2 (46)

---

(4)
Compound: KZn4SbO7
Source: Alexandria via LeMat-Bulk
Functional: PBEsol
Structure: relaxed

Unit cell a=6.1449 b=6.1449 c=9.9784 alpha=90.00 beta=90.00 gamma=120.00
Sites, in units of the cell vectors:
K  0.3333  0.6667  0.0000
K  0.6667  0.3333  0.5000
Zn  0.0000  0.0000  0.0702
Zn  0.0000  0.0000  0.5702
Zn  0.1734  0.3469  0.3156
Zn  0.1734  0.8266  0.3156
Zn  0.3469  0.1734  0.8156
Zn  0.6531  0.8266  0.3156
Zn  0.8266  0.1734  0.8156
Zn  0.8266  0.6531  0.8156
Sb  0.3333  0.6667  0.6272
Sb  0.6667  0.3333  0.1272
O  0.0000  0.0000  0.2649
O  0.0000  0.0000  0.7649
O  0.0229  0.5114  0.7428
O  0.1777  0.3554  0.5111
O  0.1777  0.8223  0.5111
O  0.3554  0.1777  0.0111
O  0.4886  0.5114  0.7428
O  0.4886  0.9771  0.7428
O  0.5114  0.0229  0.2428
O  0.5114  0.4886  0.2428
O  0.6446  0.8223  0.5111
O  0.8223  0.1777  0.0111
O  0.8223  0.6446  0.0111
O  0.9771  0.4886  0.2428

Output
symmetry	P6_3mc (186)

---

(5)
Compound: KScO2
Source: Alexandria via LeMat-Bulk
Functional: PBEsol
Structure: relaxed

Unit cell a=5.8735 b=5.8735 c=5.8735 alpha=121.22 beta=121.22 gamma=87.91
Sites, in units of the cell vectors:
K  0.0000  0.0000  0.0000
K  0.7500  0.2500  0.5000
Sc  0.2500  0.7500  0.5000
Sc  0.5000  0.5000  0.0000
O  0.2280  0.6250  0.1030
O  0.3750  0.4780  0.6030
O  0.5220  0.1250  0.8970
O  0.8750  0.7720  0.3970

Output
symmetry	I-42d (122)

---

(6)
Compound: KScO3
Source: Alexandria via LeMat-Bulk
Functional: PBEsol
Structure: relaxed

Unit cell a=4.1252 b=4.1252 c=4.1252 alpha=90.00 beta=90.00 gamma=90.00
Sites, in units of the cell vectors:
K  0.0000  0.0000  0.0000
Sc  0.5000  0.5000  0.5000
O  0.0000  0.0000  0.5000
O  0.0000  0.5000  0.0000
O  0.5000  0.0000  0.0000

Output
symmetry	Pm-3m (221)

---

(7)
Compound: KSc2TaO
Source: Alexandria via LeMat-Bulk
Functional: PBEsol
Structure: relaxed

Unit cell a=5.8254 b=5.8254 c=3.8906 alpha=90.00 beta=90.00 gamma=90.00
Sites, in units of the cell vectors:
K  0.0000  0.0000  0.0000
Sc  0.0000  0.5000  0.5000
Sc  0.5000  0.0000  0.5000
Ta  0.5000  0.5000  0.5000
O  0.5000  0.5000  0.0000

Output
symmetry	P4/mmm (123)

---

(8)
Compound: K3ScV2O8
Source: Alexandria via LeMat-Bulk
Functional: PBEsol
Structure: relaxed

Unit cell a=5.7450 b=5.7450 c=7.4118 alpha=90.00 beta=90.00 gamma=120.00
Sites, in units of the cell vectors:
K  0.0000  0.0000  0.0000
K  0.3333  0.6667  0.6832
K  0.6667  0.3333  0.3168
Sc  0.0000  0.0000  0.5000
V  0.3333  0.6667  0.2499
V  0.6667  0.3333  0.7501
O  0.1698  0.3397  0.3320
O  0.1698  0.8302  0.3320
O  0.3333  0.6667  0.0269
O  0.3397  0.1698  0.6680
O  0.6603  0.8302  0.3320
O  0.6667  0.3333  0.9731
O  0.8302  0.1698  0.6680
O  0.8302  0.6603  0.6680

Output
symmetry	P-3m1 (164)

---

(9)
Compound: KYSe2O6
Source: Alexandria via LeMat-Bulk
Functional: PBEsol
Structure: relaxed

Unit cell a=13.2267 b=5.7433 c=8.7612 alpha=90.00 beta=90.00 gamma=90.00
Sites, in units of the cell vectors:
K  0.1231  0.2500  0.0042
K  0.3769  0.7500  0.5042
K  0.6231  0.2500  0.4958
K  0.8769  0.7500  0.9958
Y  0.0975  0.7500  0.6928
Y  0.4025  0.2500  0.1928
Y  0.5975  0.7500  0.8072
Y  0.9025  0.2500  0.3072
Se  0.0707  0.7500  0.2827
Se  0.2035  0.2500  0.4899
Se  0.2965  0.7500  0.9899
Se  0.4293  0.2500  0.7827
Se  0.5707  0.7500  0.2173
Se  0.7035  0.2500  0.0101
Se  0.7965  0.7500  0.5101
Se  0.9293  0.2500  0.7173
O  0.0068  0.5186  0.2039
O  0.0068  0.9814  0.2039
O  0.0243  0.7500  0.4648
O  0.1746  0.7500  0.9214
O  0.2095  0.0166  0.6117
O  0.2095  0.4834  0.6117
O  0.2905  0.5166  0.1117
O  0.2905  0.9834  0.1117
O  0.3254  0.2500  0.4214
O  0.4757  0.2500  0.9648
O  0.4932  0.0186  0.7039
O  0.4932  0.4814  0.7039
O  0.5068  0.5186  0.2961
O  0.5068  0.9814  0.2961
O  0.5243  0.7500  0.0352
O  0.6746  0.7500  0.5786
O  0.7095  0.0166  0.8883
O  0.7095  0.4834  0.8883
O  0.7905  0.5166  0.3883
O  0.7905  0.9834  0.3883
O  0.8254  0.2500  0.0786
O  0.9757  0.2500  0.5352
O  0.9932  0.0186  0.7961
O  0.9932  0.4814  0.7961

Output
symmetry	Pnma (62)

---

(10)
Compound: K2Zn3Se4O12
Source: Alexandria via LeMat-Bulk
Functional: PBEsol
Structure: relaxed

Unit cell a=7.1451 b=7.1451 c=13.6772 alpha=92.42 beta=92.42 gamma=74.85
Sites, in units of the cell vectors:
K  0.1991  0.2221  0.4809
K  0.2221  0.1991  0.9809
K  0.7779  0.8009  0.0191
K  0.8009  0.7779  0.5191
Zn  0.0061  0.9939  0.7500
Zn  0.3218  0.6244  0.6013
Zn  0.3756  0.6782  0.8987
Zn  0.6244  0.3218  0.1013
Zn  0.6782  0.3756  0.3987
Zn  0.9939  0.0061  0.2500
Se  0.0182  0.5835  0.7802
Se  0.2835  0.6762  0.3673
Se  0.3238  0.7165  0.1327
Se  0.4165  0.9818  0.7198
Se  0.5835  0.0182  0.2802
Se  0.6762  0.2835  0.8673
Se  0.7165  0.3238  0.6327
Se  0.9818  0.4165  0.2198
O  0.0782  0.7882  0.1462
O  0.0800  0.1967  0.1637
O  0.0865  0.6859  0.6779
O  0.1807  0.6418  0.4749
O  0.1967  0.0800  0.6637
O  0.2118  0.9218  0.3538
O  0.2314  0.4967  0.8476
O  0.3141  0.9135  0.8221
O  0.3519  0.4773  0.0954
O  0.3582  0.8193  0.0251
O  0.4773  0.3519  0.5954
O  0.4967  0.2314  0.3476
O  0.5033  0.7686  0.6524
O  0.5227  0.6481  0.4046
O  0.6418  0.1807  0.9749
O  0.6481  0.5227  0.9046
O  0.6859  0.0865  0.1779
O  0.7686  0.5033  0.1524
O  0.7882  0.0782  0.6462
O  0.8033  0.9200  0.3363
O  0.8193  0.3582  0.5251
O  0.9135  0.3141  0.3221
O  0.9200  0.8033  0.8363
O  0.9218  0.2118  0.8538

Output
symmetry	C2/c (15)

---

(11)
Compound: K6Si2O7
Source: Alexandria via LeMat-Bulk
Functional: PBEsol
Structure: relaxed

Unit cell a=6.4215 b=8.8524 c=10.8507 alpha=90.00 beta=124.68 gamma=90.00
Sites, in units of the cell vectors:
K  0.0322  0.1490  0.4155
K  0.0322  0.3510  0.9155
K  0.2072  0.5272  0.4557
K  0.2072  0.9728  0.9557
K  0.3976  0.2167  0.2772
K  0.3976  0.2833  0.7772
K  0.6024  0.7167  0.2228
K  0.6024  0.7833  0.7228
K  0.7928  0.0272  0.0443
K  0.7928  0.4728  0.5443
K  0.9678  0.6490  0.0845
K  0.9678  0.8510  0.5845
Si  0.3244  0.6370  0.8738
Si  0.3244  0.8630  0.3738
Si  0.6756  0.1370  0.6262
Si  0.6756  0.3630  0.1262
O  0.0698  0.6600  0.8730
O  0.0698  0.8400  0.3730
O  0.2574  0.5828  0.7108
O  0.2574  0.9172  0.2108
O  0.4939  0.2127  0.0652
O  0.4939  0.2873  0.5652
O  0.5000  0.0000  0.5000
O  0.5000  0.5000  0.0000
O  0.5061  0.7127  0.4348
O  0.5061  0.7873  0.9348
O  0.7426  0.0828  0.7892
O  0.7426  0.4172  0.2892
O  0.9302  0.1600  0.6270
O  0.9302  0.3400  0.1270

Output
symmetry	P2_1/c (14)

---

(12)
Compound: K4SiO4
Source: Alexandria via LeMat-Bulk
Functional: PBEsol
Structure: relaxed

Unit cell a=10.2953 b=6.4053 c=10.2850 alpha=90.00 beta=112.21 gamma=90.00
Sites, in units of the cell vectors:
K  0.0624  0.0916  0.1980
K  0.0624  0.4084  0.6980
K  0.1591  0.6100  0.0834
K  0.1591  0.8900  0.5834
K  0.3683  0.6673  0.8894
K  0.3683  0.8327  0.3894
K  0.4260  0.1891  0.7959
K  0.4260  0.3109  0.2959
K  0.5740  0.6891  0.7041
K  0.5740  0.8109  0.2041
K  0.6317  0.1673  0.6106
K  0.6317  0.3327  0.1106
K  0.8409  0.1100  0.4166
K  0.8409  0.3900  0.9166
K  0.9376  0.5916  0.3020
K  0.9376  0.9084  0.8020
Si  0.2415  0.1315  0.9900
Si  0.2415  0.3685  0.4900
Si  0.7585  0.6315  0.5100
Si  0.7585  0.8685  0.0100
O  0.0878  0.2363  0.9699
O  0.0878  0.2637  0.4699
O  0.2210  0.9996  0.8446
O  0.2210  0.5004  0.3446
O  0.3006  0.5244  0.6305
O  0.3006  0.9756  0.1305
O  0.3571  0.1754  0.5138
O  0.3571  0.3246  0.0138
O  0.6429  0.6754  0.9862
O  0.6429  0.8246  0.4862
O  0.6994  0.0244  0.8695
O  0.6994  0.4756  0.3695
O  0.7790  0.0004  0.1554
O  0.7790  0.4996  0.6554
O  0.9122  0.7363  0.5301
O  0.9122  0.7637  0.0301

Output
symmetry	P2_1/c (14)

---

| no. | raw formation energy (kJ/mol of atoms) | size of the total moment (μB/atom) |
| --- | --- | --- |
| 1 | 162.27 | 0.4612 |
| 2 | -199.51 | 0.0000 |
| 3 | -184.11 | 0.0000 |
| 4 | -146.82 | 0.0000 |
| 5 | -262.16 | 0.0001 |
| 6 | -2.22 | 0.1001 |
| 7 | 21.08 | 0.3438 |
| 8 | -247.60 | 0.0000 |
| 9 | -175.24 | 0.0000 |
| 10 | -118.17 | 0.0000 |
| 11 | -211.49 | 0.0001 |
| 12 | -197.23 | 0.0015 |